## CdBrCl2 (GGA-PBE)

Data for a relaxed CdBrCl2 crystal. Values from VASP.

Geometry as Quantum ESPRESSO input:
```
&SYSTEM
  ibrav = 0, nat = 4, ntyp = 3
/
ATOMIC_SPECIES
Cl 35.45 Cl.upf
Cd 112.41 Cd.upf
Br 79.90 Br.upf
ATOMIC_POSITIONS angstrom
Cl -0.4724 -0.3041 0.2841
Cl -3.1670 -2.0388 1.9050
Cd -0.6618 -1.9025 2.2372
Br -2.2594 1.5623 3.2893
CELL_PARAMETERS angstrom
-5.2370 1.1219 3.2413
-2.0418 -5.8077 1.1370
4.3576 4.3456 1.1482
```

Output
- Energy relative to the elements, uncorrected: -0.460 eV per atom

## Cd2BrCl (GGA-PBE)

Data for a relaxed Cd2BrCl crystal. Values from VASP.

Geometry as Quantum ESPRESSO input:
```
&SYSTEM
  ibrav = 0, nat = 4, ntyp = 3
/
ATOMIC_SPECIES
Cd 112.41 Cd.upf
Br 79.90 Br.upf
Cl 35.45 Cl.upf
ATOMIC_POSITIONS angstrom
Cd 0.0000 0.0000 0.0000
Cd 1.8996 -3.5107 0.1801
Br 2.3428 -1.9349 2.5941
Cl -1.5142 -1.9519 1.5505
CELL_PARAMETERS angstrom
-1.9575 -3.5277 -0.8634
5.7566 -3.4937 1.2236
-1.0709 -0.3761 3.9645
```

Output
- Energy relative to the elements, uncorrected: -0.322 eV per atom

## Cd2Br3Cl (GGA-PBE)

Data for a relaxed Cd2Br3Cl crystal. Values from VASP.

Geometry as Quantum ESPRESSO input:
```
&SYSTEM
  ibrav = 0, nat = 12, ntyp = 3
/
ATOMIC_SPECIES
Cd 112.41 Cd.upf
Cl 35.45 Cl.upf
Br 79.90 Br.upf
ATOMIC_POSITIONS angstrom
Cd 0.0000 -2.0058 3.4742
Cd 0.0000 4.0117 0.0000
Cd 0.0000 2.0058 3.4742
Cd 0.0000 0.0000 0.0000
Cl 5.3645 0.0000 4.6323
Cl 1.3980 4.0117 2.3161
Br 5.1679 2.0070 1.1587
Br 1.5945 0.0000 2.3175
Br 1.5945 2.0047 5.7897
Br 1.5945 -2.0047 5.7897
Br 5.1679 4.0117 4.6310
Br 5.1679 6.0164 1.1587
CELL_PARAMETERS angstrom
6.7625 0.0000 0.0000
0.0000 8.0234 0.0000
0.0000 -4.0117 6.9484
```

Output
- Energy relative to the elements, uncorrected: -0.915 eV per atom